Record 1
Computed, not measured: an optimized crystal structure of PmNd3Sc at the PBE-GGA level of DFT.

The structure in POSCAR format:
```
PmNd3Sc
1.0
6.525 -0.490 1.296
0.730 10.496 3.929
-1.132 3.428 10.635
Pm Nd Sc
4 12 4
Cartesian
3.945 3.755 10.948
2.178 9.679 4.912
5.161 8.371 6.569
0.962 5.063 9.291
5.733 0.906 4.103
3.258 10.784 13.828
0.390 12.528 11.757
2.865 2.650 2.032
3.132 2.626 7.315
5.320 7.020 12.555
2.991 10.808 8.545
0.803 6.414 3.305
5.540 5.039 7.736
3.620 7.296 9.582
0.583 8.395 8.124
2.503 6.138 6.278
4.453 4.057 4.612
5.161 10.000 11.073
1.670 9.377 11.248
0.962 3.434 4.787
```

The density of states at the Fermi level is 30.2 states/eV/cell. The value obtained for the formation energy is 0.0923 eV/atom. As for the symmetry: C2/c (15). The calculation puts the energy at -4.985 eV per atom.

Record 2
Computed, not measured: an optimized crystal structure of PmNd6Sc at the PBE-GGA level of DFT.

The structure in POSCAR format:
```
PmNd6Sc
1.0
-2.146 5.354 0.676
-5.420 -0.990 1.838
0.762 1.292 9.203
Pm Nd Sc
1 6 1
Cartesian
-3.402 2.829 5.858
-5.576 2.447 8.552
-3.991 5.519 7.989
-2.814 0.138 3.728
-1.229 3.210 3.165
-4.741 2.864 2.278
-2.063 2.793 9.439
0.000 0.000 0.000
```

The density of states at the Fermi level is 13.9 states/eV/cell. The value obtained for the formation energy is 0.3601 eV/atom. As for the symmetry: C2/m (12). The calculation puts the energy at -4.601 eV per atom.

Record 3
Computed, not measured: an optimized crystal structure of Pm4Nd7Sc at the PBE-GGA level of DFT.

The structure in POSCAR format:
```
Pm4Nd7Sc
1.0
-7.176 1.434 -0.358
-0.094 1.099 6.239
-5.438 10.329 0.264
Pm Nd Sc
4 7 1
Cartesian
-4.909 4.789 4.455
-7.799 8.073 1.690
-9.679 8.922 4.703
-3.029 3.940 1.442
-5.451 1.631 2.852
-7.258 11.231 3.293
-4.264 7.361 1.868
-8.445 5.501 4.277
-6.084 8.247 4.935
-3.588 0.717 -0.179
-6.625 4.615 1.210
0.000 0.000 0.000
```

The density of states at the Fermi level is 16.3 states/eV/cell. The value obtained for the formation energy is 0.0269 eV/atom. As for the symmetry: P-1 (2). The calculation puts the energy at -4.866 eV per atom.

Record 4
Computed, not measured: an optimized crystal structure of Pm8NdSc2 at the PBE-GGA level of DFT.

The structure in POSCAR format:
```
Pm8NdSc2
1.0
-5.767 0.824 0.984
-4.041 -2.616 7.628
-0.425 5.894 7.129
Pm Nd Sc
8 1 2
Cartesian
-5.263 1.846 3.273
-6.456 4.271 8.806
-3.397 -0.864 3.511
-6.260 0.798 9.502
-3.974 3.304 6.239
-6.411 -0.928 5.101
-3.777 -0.169 6.936
-4.971 2.256 12.468
-2.883 0.412 0.492
-1.414 1.431 5.075
-3.053 1.846 9.682
```

The density of states at the Fermi level is 15.3 states/eV/cell. The value obtained for the formation energy is 0.1560 eV/atom. As for the symmetry: C2/m (12). The calculation puts the energy at -4.884 eV per atom.

Record 5
Computed, not measured: an optimized crystal structure of Pm4Nd3Sc2 at the PBE-GGA level of DFT.

The structure in POSCAR format:
```
Pm4Nd3Sc2
1.0
-1.522 -0.708 -3.160
3.454 -0.766 0.534
-6.710 -24.206 8.654
Pm Nd Sc
4 3 2
Cartesian
-3.657 -13.193 4.717
-2.765 -11.197 1.814
-1.240 -5.696 -0.152
-5.205 -18.778 6.713
-6.592 -23.779 8.501
-2.118 -7.642 2.732
-4.290 -16.695 3.780
-0.427 -2.761 -1.202
-5.747 -21.954 5.660
```

The density of states at the Fermi level is 16.6 states/eV/cell. The value obtained for the formation energy is 0.1070 eV/atom. As for the symmetry: P3m1 (156). The calculation puts the energy at -5.001 eV per atom.

Record 6
Computed, not measured: an optimized crystal structure of Pm4Nd2Sc at the PBE-GGA level of DFT.

The structure in POSCAR format:
```
Pm4Nd2Sc
1.0
-4.261 1.508 -3.855
-2.849 -5.314 1.070
-1.953 5.439 4.286
Pm Nd Sc
4 2 1
Cartesian
-4.467 -1.152 -0.091
-3.521 -0.930 3.528
-4.596 2.784 1.591
-1.281 1.055 1.829
-2.870 1.363 -0.873
-6.193 0.270 2.374
-1.424 -2.657 0.535
```

The density of states at the Fermi level is 10.4 states/eV/cell. The value obtained for the formation energy is 0.4751 eV/atom. As for the symmetry: Cmmm (65). The calculation puts the energy at -4.506 eV per atom.

Record 7
Computed, not measured: an optimized crystal structure of Pm4Nd5Sc at the PBE-GGA level of DFT.

The structure in POSCAR format:
```
Pm4Nd5Sc
1.0
-0.547 -1.047 3.463
2.710 -2.439 -0.310
16.581 17.416 7.883
Pm Nd Sc
4 5 1
Cartesian
3.187 3.348 1.515
6.588 6.919 3.132
9.993 10.496 4.751
13.394 14.068 6.368
2.575 -0.174 2.287
5.968 3.389 3.900
9.372 6.965 5.518
12.776 10.540 7.136
16.169 14.104 8.749
0.000 0.000 0.000
```

The density of states at the Fermi level is 14.6 states/eV/cell. The value obtained for the formation energy is 0.0265 eV/atom. As for the symmetry: P4/mmm (123). The calculation puts the energy at -4.891 eV per atom.

Record 8
Computed, not measured: an optimized crystal structure of Pm2NdSc at the PBE-GGA level of DFT.

The structure in POSCAR format:
```
Pm2NdSc
1.0
3.579 0.000 0.000
1.789 3.099 0.000
1.789 1.033 11.549
Pm Nd Sc
2 1 1
Cartesian
1.789 1.033 8.813
1.789 1.033 2.725
3.579 2.066 5.789
5.368 3.099 11.545
```

The density of states at the Fermi level is 6.1 states/eV/cell. The value obtained for the formation energy is 0.0574 eV/atom. As for the symmetry: R3m (160). The calculation puts the energy at -5.093 eV per atom.